# RbLaMnCo2

A relaxed RbLaMnCo2 crystal (PBE-GGA, Alexandria via LeMat-Bulk).

For the electronic total energy, the calculation gives -3.384 eV/atom. Its total magnetization is 0.326 μB per atom. Its density of states at the Fermi level is 1.95 states/eV/atom. The formation energy from the elements is 2.47 eV/atom.

The space group is P4/mmm (No. 123) and the conventional cell measures 4.538, 4.538 and 5.510 Å, with angles of 90.00, 90.00 and 90.00 degrees. Symmetry generates all atoms from Rb at (0.000, 0.000, 0.000), La at (0.000, 0.000, 0.500), Mn at (0.500, 0.500, 0.500) and Co at (0.000, 0.500, 0.000).

# LaMn2CoRh

A relaxed LaMn2CoRh crystal (PBE-GGA, Alexandria via LeMat-Bulk).

For the electronic total energy, the calculation gives -5.855 eV/atom. Its total magnetization is 1.445 μB per atom. Its density of states at the Fermi level is 1.31 states/eV/atom. The formation energy from the elements is 1.69 eV/atom.

The space group is P4/mmm (No. 123) and the conventional cell measures 4.718, 4.718 and 4.394 Å, with angles of 90.00, 90.00 and 90.00 degrees. Symmetry generates all atoms from La at (0.000, 0.000, 0.000), Mn at (0.000, 0.500, 0.000), Co at (0.000, 0.000, 0.500) and Rh at (0.500, 0.500, 0.500).

# LaMnCoSb2

A relaxed LaMnCoSb2 crystal (PBE-GGA, Alexandria via LeMat-Bulk).

For the electronic total energy, the calculation gives -5.821 eV/atom. The calculation puts the uncorrected formation energy at 0.07 eV per atom. Its total magnetization is 0.492 μB per atom. Its density of states at the Fermi level is 1.37 states/eV/atom.

The space group is P4/mmm (No. 123) and the conventional cell measures 5.091, 5.091 and 4.454 Å, with angles of 90.00, 90.00 and 90.00 degrees. Symmetry generates all atoms from La at (0.000, 0.000, 0.000), Mn at (0.500, 0.500, 0.500), Co at (0.500, 0.500, 0.000) and Sb at (0.000, 0.500, 0.500).

# LaMn2ZnCo

A relaxed LaMn2ZnCo crystal (PBE-GGA, Alexandria via LeMat-Bulk).

For the electronic total energy, the calculation gives -5.728 eV/atom. Its total magnetization is 0.005 μB per atom. Its density of states at the Fermi level is 1.94 states/eV/atom. The formation energy from the elements is 0.60 eV/atom.

The space group is P4/mmm (No. 123) and the conventional cell measures 4.395, 4.395 and 4.527 Å, with angles of 90.00, 90.00 and 90.00 degrees. Symmetry generates all atoms from La at (0.000, 0.000, 0.000), Mn at (0.000, 0.500, 0.500), Zn at (0.500, 0.500, 0.000) and Co at (0.500, 0.500, 0.500).

# LaCo2Mo

A relaxed LaCo2Mo crystal (PBE-GGA, Alexandria via LeMat-Bulk).

For the electronic total energy, the calculation gives -7.057 eV/atom. Its total magnetization is 0.000 μB per atom. Its density of states at the Fermi level is 1.25 states/eV/atom. The formation energy from the elements is 0.44 eV/atom.

The space group is P4/mmm (No. 123) and the conventional cell measures 4.744, 4.744 and 2.907 Å, with angles of 90.00, 90.00 and 90.00 degrees. Symmetry generates all atoms from La at (0.000, 0.000, 0.000), Co at (0.000, 0.500, 0.500) and Mo at (0.500, 0.500, 0.000).

# La2CoMo

A relaxed La2CoMo crystal (PBE-GGA, Alexandria via LeMat-Bulk).

For the electronic total energy, the calculation gives -6.782 eV/atom. Its total magnetization is 0.000 μB per atom. Its density of states at the Fermi level is 1.09 states/eV/atom. The formation energy from the elements is 0.17 eV/atom.

The space group is Amm2 (No. 38) and the conventional cell measures 4.107, 4.757 and 10.142 Å, with angles of 90.00, 90.00 and 90.00 degrees. Symmetry generates all atoms from La at (0.000, 0.000, 0.000), La at (0.500, 0.000, 0.307), Co at (0.500, 0.000, 0.591) and Mo at (0.000, 0.000, 0.695).